{
  "formula": "YTe2Au",
  "functional": "GGA-PBE",
  "state": "optimized geometry",
  "dft_energy_ev_per_atom": -4.926,
  "spacegroup": "Cm",
  "volume_a3_per_cell": 492.5,
  "cell": [[16.176, 0.000, 0.000], [0.000, 4.306, 0.000], [-3.421, 0.000, 7.071]],
  "species": ["Y", "Y", "Y", "Y", "Te", "Te", "Te", "Te", "Te", "Te", "Te", "Te", "Au", "Au", "Au", "Au"],
  "frac_coords": [[0.000, 0.000, 0.000], [0.239, 0.500, 0.685], [0.500, 0.500, 0.000], [0.739, 0.000, 0.685], [0.095, 0.500, 0.872], [0.096, 0.000, 0.428], [0.347, 0.500, 0.446], [0.351, 0.000, 0.997], [0.595, 0.000, 0.872], [0.596, 0.500, 0.428], [0.847, 0.000, 0.446], [0.851, 0.500, 0.997], [0.153, 0.500, 0.254], [0.391, 0.000, 0.686], [0.653, 0.000, 0.254], [0.891, 0.500, 0.686]]
}



{
  "formula": "Y2Te3Au",
  "functional": "GGA-PBE",
  "state": "optimized geometry",
  "dft_energy_ev_per_atom": -5.333,
  "spacegroup": "Pnma",
  "de_polymorph_mev_per_atom": 0,
  "volume_a3_per_cell": 676.6,
  "cell": [[8.377, 0.000, 0.000], [0.000, 4.213, 0.000], [0.000, 0.000, 19.172]],
  "species": ["Y", "Y", "Y", "Y", "Y", "Y", "Y", "Y", "Te", "Te", "Te", "Te", "Te", "Te", "Te", "Te", "Te", "Te", "Te", "Te", "Au", "Au", "Au", "Au"],
  "frac_coords": [[0.071, 0.250, 0.204], [0.210, 0.750, 0.503], [0.290, 0.250, 0.003], [0.429, 0.750, 0.704], [0.571, 0.250, 0.296], [0.710, 0.750, 0.997], [0.790, 0.250, 0.497], [0.929, 0.750, 0.796], [0.049, 0.750, 0.081], [0.156, 0.250, 0.387], [0.168, 0.250, 0.738], [0.332, 0.750, 0.238], [0.344, 0.750, 0.887], [0.451, 0.250, 0.581], [0.549, 0.750, 0.419], [0.656, 0.250, 0.113], [0.668, 0.250, 0.762], [0.832, 0.750, 0.262], [0.844, 0.750, 0.613], [0.951, 0.250, 0.919], [0.073, 0.250, 0.596], [0.427, 0.750, 0.096], [0.573, 0.250, 0.904], [0.927, 0.750, 0.404]]
}